YCd2Ag: relaxed, PBE.

a = 4.929 Å, b = 3.347 Å, c = 5.828 Å
α = 88.21°, β = 90.00°, γ = 90.00°
Element x y z (fractional)
Ag: 0.500 0.984 0.740
Cd: 0.000 0.992 0.999
Cd: 0.500 0.023 0.251
Y: 0.000 0.502 0.510

Computed properties:
Density (g cm⁻³): 7.29
Calculated volume (A^3/atom): 24.02
E (eV/atom): -2.96
Magnetization (μB/f.u.): 0.0



PmGaHRh: relaxed, PBE.

a = 4.173 Å, b = 4.173 Å, c = 7.452 Å
α = 90.00°, β = 90.00°, γ = 90.00°
Element x y z (fractional)
Pm: 0.500 0.000 0.662
Pm: 0.000 0.500 0.338
Ga: 0.000 0.500 0.817
Ga: 0.500 0.000 0.183
H: 0.000 0.000 0.500
H: 0.500 0.500 0.500
Rh: 0.500 0.500 0.000
Rh: 0.000 0.000 0.000

Computed properties:
Density (g cm⁻³): 8.15
Calculated volume (A^3/atom): 16.22
E (eV/atom): -5.36
Magnetization (μB/f.u.): 0.0



Pm6SnC2: relaxed, PBE.

a = 5.128 Å, b = 7.310 Å, c = 9.104 Å
α = 124.42°, β = 90.00°, γ = 110.53°
Element x y z (fractional)
Pm: 0.970 0.940 0.808
Pm: 0.700 0.400 0.065
Pm: 0.300 0.600 0.935
Pm: 0.665 0.330 0.583
Pm: 0.335 0.670 0.417
Pm: 0.030 0.060 0.192
Sn: 0.000 0.000 0.500
C: 0.820 0.640 0.917
C: 0.180 0.360 0.083

Computed properties:
Density (g cm⁻³): 6.60
Calculated volume (A^3/atom): 28.31
E (eV/atom): -5.79
Magnetization (μB/f.u.): 0.0